[1]
# TlFe2Pt PBE-GGA relaxed
# E above lowest polymorph ... 234 meV per atom
# E_form ... 0.423 eV per atom
# Crystal system ... trigonal
data_TlFe2Pt
_space_group_name_H-M_alt 'R -3 m'
_space_group_IT_number 166
_space_group_name_Hall '-R 3 2"'
_cell_length_a 2.8884
_cell_length_b 2.8884
_cell_length_c 26.6849
_cell_angle_alpha 90.00
_cell_angle_beta 90.00
_cell_angle_gamma 120.00
loop_
_atom_site_label
_atom_site_fract_x
_atom_site_fract_y
_atom_site_fract_z
_atom_site_occupancy
Tl1 0.0000 0.0000 0.0000 1
Fe1 0.0000 0.0000 0.2452 1
Pt1 0.0000 0.0000 0.5000 1

---

[2]
# CeZrScRe PBE-GGA relaxed
# E_form ... 0.098 eV per atom
# Crystal system ... cubic
data_CeZrScRe
_space_group_name_H-M_alt 'F -4 3 m'
_space_group_IT_number 216
_space_group_name_Hall 'F -4 2 3'
_cell_length_a 6.966
_cell_length_b 6.966
_cell_length_c 6.966
_cell_angle_alpha 90.00
_cell_angle_beta 90.00
_cell_angle_gamma 90.00
loop_
_atom_site_label
_atom_site_fract_x
_atom_site_fract_y
_atom_site_fract_z
_atom_site_occupancy
Ce1 0.000 0.000 0.000 1
Zr1 0.000 0.000 0.500 1
Sc1 0.250 0.250 0.750 1
Re1 0.250 0.250 0.250 1

---

[3]
# YPBr2 PBE-GGA relaxed
# E above lowest polymorph ... 86 meV per atom
# E_form (uncorrected) ... -1.019 eV per atom
# Crystal system ... monoclinic
data_YPBr2
_space_group_name_H-M_alt 'C 1 m 1'
_space_group_IT_number 8
_cell_length_a 9.257
_cell_length_b 3.987
_cell_length_c 7.504
_cell_angle_alpha 90.00
_cell_angle_beta 96.98
_cell_angle_gamma 90.00
loop_
_space_group_symop_operation_xyz
'x,y,z'
'x,-y,z'
'x+1/2,y+1/2,z'
'x+1/2,-y+1/2,z'
loop_
_atom_site_label
_atom_site_fract_x
_atom_site_fract_y
_atom_site_fract_z
_atom_site_occupancy
Y1 0.000 0.000 0.000 1
P1 0.296 0.000 0.938 1
Br1 0.127 0.500 0.257 1
Br2 0.428 0.000 0.688 1